Here is a relaxed structure of SrLiCeO4 from Alexandria via LeMat-Bulk. Energies are from PBE.

density of states at the Fermi level	0.18	states/eV/atom
formation energy without anion corrections	-1684	kJ/mol of formula units
symmetry	No. 63
volume	12.671	A^3/atom
M_tot	0.2	μB/f.u.

abc: 4.7243 5.7785 6.9142
angles: 90.00 109.98 90.00
With the nearest neighbours (Å) after each atom.
Positions (direct):
O 0.5000 0.0000 0.5000  2 Li 1.87
O 0.9557 0.2500 0.9113  1 Ce 2.10
O 0.4152 0.7500 0.8305  1 Li 2.01
O 0.0000 0.5000 0.5000  2 Li 1.87
O 0.5000 0.5000 0.5000  2 Li 1.87
O 0.0443 0.7500 0.0887  1 Ce 2.10
O 0.5848 0.2500 0.1695  1 Li 2.01
O 0.0000 0.0000 0.5000  2 Li 1.87
Ce 0.1175 0.2500 0.2351  1 O 2.10
Ce 0.8825 0.7500 0.7649  1 O 2.10
Li 0.7396 0.2500 0.4793  5 O 1.87-2.01
Li 0.2604 0.7500 0.5207  5 O 1.87-2.01
Sr 0.3932 0.2500 0.7863  7 O 2.49-2.64
Sr 0.6068 0.7500 0.2137  7 O 2.49-2.64

Here is a relaxed structure of Cs3CdGe from Alexandria via LeMat-Bulk. Energies are from PBE.

ΔE_f	-0.12	eV per formula unit
density of states at the Fermi level	0.86	states/eV/atom
symmetry	No. 13
volume	58.817	A^3/atom
M_tot	0.0	μB/f.u.

abc: 7.8885 8.7105 17.6950
angles: 90.00 104.65 90.00
With the nearest neighbours (Å) after each atom.
Positions (direct):
Cs 0.0859 0.7675 0.0303  2 Ge 3.89-3.96, 2 Cd 3.95-4.28, 1 Cs 4.32
Cs 0.7170 0.2524 0.6854  2 Ge 3.73-3.97, 1 Cd 3.95
Cs 0.4683 0.7675 0.8691  1 Ge 3.93, 2 Cd 4.06-4.08, 1 Cs 4.37
Cs 0.9141 0.7675 0.4697  2 Ge 3.89-3.96, 2 Cd 3.95-4.28, 1 Cs 4.32
Cs 0.5317 0.7675 0.6309  1 Ge 3.93, 2 Cd 4.06-4.08, 1 Cs 4.37
Cs 0.5317 0.2325 0.1309  1 Ge 3.93, 2 Cd 4.06-4.08, 1 Cs 4.37
Cs 0.2830 0.2524 0.8146  2 Ge 3.73-3.97, 1 Cd 3.95
Cs 0.7170 0.7476 0.1854  2 Ge 3.73-3.97, 1 Cd 3.95
Cs 0.0859 0.2325 0.5303  2 Ge 3.89-3.96, 2 Cd 3.95-4.28, 1 Cs 4.32
Cs 0.2830 0.7476 0.3146  2 Ge 3.73-3.97, 1 Cd 3.95
Cs 0.9141 0.2325 0.9697  2 Ge 3.89-3.96, 2 Cd 3.95-4.28, 1 Cs 4.32
Cs 0.4683 0.2325 0.3691  1 Ge 3.93, 2 Cd 4.06-4.08, 1 Cs 4.37
Ge 0.0151 0.9217 0.6824  1 Ge 2.46
Ge 0.9849 0.0783 0.3176  1 Ge 2.46
Ge 0.0151 0.0783 0.1824  1 Ge 2.46
Ge 0.9849 0.9217 0.8176  1 Ge 2.46
Cd 0.0891 0.3890 0.1846  1 Ge 2.77, 1 Cd 3.00
Cd 0.9109 0.3890 0.3154  1 Ge 2.77, 1 Cd 3.00
Cd 0.9109 0.6110 0.8154  1 Ge 2.77, 1 Cd 3.00
Cd 0.0891 0.6110 0.6846  1 Ge 2.77, 1 Cd 3.00

> volume of number 2 (Cs3CdGe)?

58.817 A^3/atom

> M_tot of number 2 (Cs3CdGe)?

0.0 μB/f.u.

> Which value of volume does entry 2 give?

58.817 A^3/atom